Here is a relaxed EuTm3N crystal from Alexandria via LeMat-Bulk. Energies are from PBE-GGA.

It has space group Pm-3m (No. 221), with a = 4.930 Å, b = 4.930 Å, c = 4.930 Å, α = 90.00°, β = 90.00° and γ = 90.00°. The distinct sites, in fractional coordinates, are Eu at (0.000, 0.000, 0.000), Tm at (0.000, 0.500, 0.500) and N at (0.500, 0.500, 0.500).

The value obtained for the theoretical density is 9.33 g/cm³. The formation energy from raw total energies is -450 meV per atom. For the energy, the calculation gives -6.853 eV/atom.

Here is a relaxed Eu2TmN crystal from Alexandria via LeMat-Bulk. Energies are from PBE-GGA.

It has space group R-3m (No. 166, hexagonal axes), with a = 3.5437 Å, b = 3.5437 Å, c = 29.6420 Å, α = 90.00°, β = 90.00° and γ = 120.00°. The distinct sites, in fractional coordinates, are Eu at (0.0000, 0.0000, 0.1191), Tm at (0.0000, 0.0000, 0.0000) and N at (0.0000, 0.0000, 0.5000).

The value obtained for the theoretical density is 7.52 g/cm³. The formation energy from raw total energies is -402 meV per atom. For the energy, the calculation gives -8.738 eV/atom.